(1)
4
Lattice="3.845 -0.734 0.417 1.327 -3.702 -0.171 2.124 -1.189 -3.094" Properties=species:S:1:pos:R:3 comment="ScMoO2 | Alexandria | GGA+U | optimized geometry" n_ef_per_ev_atom=0.4282 de_polymorph_mev_per_atom=847 pbc="T T T"
O 1.824 -1.406 -0.712
O 5.472 -4.219 -2.136
Sc 0.000 0.000 0.000
Mo 3.648 -2.813 -1.424


(2)
19
Lattice="-3.928 4.692 -0.439 0.421 -1.456 -5.945 -3.922 -4.369 1.781" Properties=species:S:1:pos:R:3 comment="Sc6MoO12 | Alexandria | GGA+U | optimized geometry" dft_energy_ev_per_cell=-164.15 n_ef_per_ev_atom=0.0000 pbc="T T T"
O -3.870 0.669 -0.571
O -3.559 -1.802 -4.031
O -4.604 1.205 -3.086
O -1.185 -2.267 -5.197
O -6.244 1.134 0.594
O -4.025 3.619 -2.063
O -5.337 -1.462 -1.246
O -3.404 -4.752 -2.540
O -2.510 1.763 -5.587
O -2.825 -2.338 -1.517
O -4.919 -2.896 0.984
O -2.092 0.328 -3.356
Sc -5.823 0.519 -1.497
Sc -3.799 0.197 -4.685
Sc -2.827 1.752 -1.972
Sc -1.606 -1.652 -3.105
Sc -4.602 -2.885 -2.631
Sc -3.630 -1.330 0.082
Mo 0.000 0.000 0.000


(3)
11
Lattice="4.827 0.000 0.000 0.000 4.827 0.000 -2.414 -2.414 5.193" Properties=species:S:1:pos:R:3 comment="ScMo2O8 | Alexandria | GGA+U | optimized geometry" dft_energy_ev_per_cell=-75.81 n_ef_per_ev_atom=0.2603 pbc="T T T"
O 3.594 1.229 1.428
O 1.229 1.234 1.428
O 3.599 3.594 1.428
O 1.180 1.185 3.765
O -1.185 1.180 3.765
O -1.180 -1.185 3.765
O 1.234 3.599 1.428
O 1.185 -1.180 3.765
Mo 2.414 0.000 2.596
Mo 0.000 2.414 2.596
Sc 2.414 2.414 0.000


(4)
5
Lattice="-3.466 -0.382 3.595 -0.347 -4.923 -0.858 3.599 -0.843 3.380" Properties=species:S:1:pos:R:3 comment="Sc3MoO | Alexandria | GGA+U | optimized geometry" n_ef_per_ev_atom=1.0133 de_polymorph_mev_per_atom=1858 pbc="T T T"
Sc -1.733 -0.191 1.798
Sc -0.174 -2.461 -0.429
Sc 1.799 -0.422 1.690
Mo 0.000 0.000 0.000
O -0.107 -3.074 3.059


(5)
24
Lattice="4.797 0.032 0.000 -0.039 5.813 0.000 0.000 0.000 10.333" Properties=species:S:1:pos:R:3 comment="ScMoO4 | Alexandria | GGA+U | optimized geometry" dft_energy_ev_per_cell=-191.27 pbc="T T T"
O 3.808 1.661 0.937
O 3.507 3.212 3.373
O 1.413 1.280 9.397
O 3.346 4.565 0.936
O 1.251 2.633 6.960
O 3.792 4.203 6.103
O 1.094 5.539 6.960
O 0.966 1.643 4.230
O 1.246 3.197 1.793
O 3.512 2.648 8.540
O 0.950 4.184 9.396
O 3.630 5.556 8.540
O 1.390 4.552 4.230
O 1.128 0.290 1.793
O 3.368 1.294 6.103
O 3.664 0.307 3.374
Sc 0.000 0.000 0.000
Sc 2.379 2.923 5.167
Sc 2.379 2.923 0.000
Sc 0.000 0.000 5.167
Mo 2.366 4.815 2.583
Mo 2.392 1.030 7.750
Mo 4.784 1.924 2.583
Mo -0.026 3.921 7.750


(6)
4
Lattice="0.775 7.787 2.521 1.947 6.316 4.890 3.674 6.923 2.482" Properties=species:S:1:pos:R:3 comment="Sc2MoO | Alexandria | GGA+U | optimized geometry" dft_energy_ev_per_cell=-28.05 n_ef_per_ev_atom=0.2391 pbc="T T T"
O 3.198 10.513 4.946
Sc 0.713 2.343 1.102
Sc 5.684 18.683 8.790
Mo 0.000 0.000 0.000


(7)
22
Lattice="6.209 0.097 0.000 -2.060 5.858 0.000 0.000 0.000 7.100" Properties=species:S:1:pos:R:3 comment="Sc3MoO7 | Alexandria | GGA+U | optimized geometry" dft_energy_ev_per_cell=-184.80 pbc="T T T"
O -1.330 5.349 5.325
O 3.143 2.233 5.325
O 0.909 3.789 5.325
O -0.315 1.884 6.784
O 1.906 0.553 3.333
O 4.464 4.070 3.234
O -0.141 1.979 3.766
O 1.006 3.721 1.775
O 2.243 5.401 6.883
O 1.877 0.357 0.316
O 5.479 0.605 1.775
O 2.272 5.597 3.866
O 3.240 2.165 1.775
O 4.290 3.975 0.216
Sc 3.310 0.085 1.828
Sc 0.839 5.870 5.377
Sc -1.067 3.134 5.272
Sc 1.889 2.711 3.550
Sc 5.216 2.820 1.722
Sc 2.260 3.244 0.000
Mo 4.129 5.926 3.550
Mo 0.020 0.028 0.000


(8)
7
Lattice="-3.056 -0.150 -1.011 -1.260 -3.210 4.285 1.049 5.584 1.136" Properties=species:S:1:pos:R:3 comment="Sc2MoO4 | Alexandria | GGA+U | optimized geometry" dft_energy_ev_per_cell=-58.19 pbc="T T T"
Mo 0.000 0.000 0.000
O -1.668 1.499 -0.317
O -2.574 2.187 2.318
O -0.694 0.037 2.092
O -1.600 0.725 4.727
Sc -0.633 2.178 1.589
Sc -2.635 0.045 2.821


(9)
6
Lattice="-4.996 -2.419 -3.239 -1.535 -3.628 5.077 0.841 6.084 0.535" Properties=species:S:1:pos:R:3 comment="ScMoO4 | Alexandria | GGA+U | optimized geometry" dft_energy_ev_per_cell=-46.85 pbc="T T T"
O -3.100 1.754 0.324
O -3.450 -1.425 -0.002
O -4.198 -3.211 2.511
O -0.631 2.955 1.913
Mo -3.265 -3.024 0.919
Sc -3.710 0.320 -0.893


(10)
5
Lattice="4.401 0.000 0.000 0.000 4.401 0.000 0.000 0.000 4.401" Properties=species:S:1:pos:R:3 comment="Sc3MoO | Alexandria | GGA+U | optimized geometry" n_ef_per_ev_atom=0.8632 de_polymorph_mev_per_atom=0 pbc="T T T"
O 0.000 0.000 0.000
Mo 2.200 2.200 2.200
Sc 0.000 2.200 0.000
Sc 2.200 0.000 0.000
Sc 0.000 0.000 2.200


(11)
32
Lattice="-2.081 1.878 2.377 -5.976 -2.677 -3.117 0.276 -11.237 9.121" Properties=species:S:1:pos:R:3 comment="Sc2MoO5 | Alexandria | GGA+U | optimized geometry" dft_energy_ev_per_cell=-265.91 pbc="T T T"
O -2.481 -10.099 7.229
O -5.156 -10.990 5.591
O -2.210 -7.945 5.764
O -1.859 -7.912 8.887
O -3.226 -1.402 -0.296
O -5.922 -4.123 -0.506
O -5.222 -5.985 4.420
O -2.099 -10.119 10.420
O -5.300 -1.936 1.152
O -2.902 -4.104 2.123
O -2.625 -1.045 2.790
O -1.673 -4.982 6.734
O -2.560 -6.050 3.961
O -5.682 -1.916 -2.040
O -4.879 -7.931 6.258
O -4.555 -10.633 8.676
O -5.571 -4.091 2.617
O -2.255 -2.913 4.589
O -5.526 -9.123 3.792
O -6.108 -7.054 1.647
Mo -1.142 -6.275 5.379
Mo -6.639 -5.761 3.002
Mo -3.751 -0.358 1.261
Mo -4.030 -11.678 7.120
Sc -4.285 -3.752 0.634
Sc -6.499 -9.019 5.699
Sc -4.015 -4.201 4.067
Sc -3.766 -7.835 4.314
Sc -1.282 -3.016 2.682
Sc -3.496 -8.283 7.746
Sc -7.084 -2.235 -0.174
Sc -0.697 -9.800 8.555


(12)
8
Lattice="5.165 0.000 0.000 0.000 5.165 0.000 2.583 2.583 4.923" Properties=species:S:1:pos:R:3 comment="ScMoO2 | Alexandria | GGA+U | optimized geometry" n_ef_per_ev_atom=0.1816 de_polymorph_mev_per_atom=372 pbc="T T T"
O 3.529 1.291 1.231
O 6.457 6.112 3.692
O 3.874 4.219 3.692
O 1.636 3.874 1.231
Sc 2.583 2.583 0.000
Sc 2.583 5.165 2.461
Mo 0.000 0.000 0.000
Mo 5.165 2.583 2.461


(13)
8
Lattice="6.328 0.000 0.000 0.000 6.328 0.000 3.164 3.164 4.141" Properties=species:S:1:pos:R:3 comment="Sc2MoO | Alexandria | GGA+U | optimized geometry" dft_energy_ev_per_cell=-56.47 n_ef_per_ev_atom=0.5870 pbc="T T T"
O 3.164 6.328 2.071
O 3.164 3.164 0.000
Mo 6.328 3.164 2.071
Mo 0.000 0.000 0.000
Sc 4.746 5.582 3.106
Sc 3.910 1.582 1.035
Sc 7.910 7.074 3.106
Sc 2.418 4.746 1.035


(14)
4
Lattice="1.853 0.000 6.337 -0.926 1.605 6.337 -0.926 -1.605 6.337" Properties=species:S:1:pos:R:3 comment="ScMoO2 | Alexandria | GGA+U | optimized geometry" n_ef_per_ev_atom=0.1926 de_polymorph_mev_per_atom=0 pbc="T T T"
O 0.000 0.000 2.132
O 0.000 0.000 16.878
Mo 0.000 0.000 0.000
Sc 0.000 0.000 9.505


(15)
12
Lattice="-0.122 3.669 3.185 -4.828 0.231 -0.485 -0.713 -4.372 5.009" Properties=species:S:1:pos:R:3 comment="SmSc2MoO8 | Alexandria | GGA+U | optimized geometry" dft_energy_ev_per_cell=-95.62 n_ef_per_ev_atom=0.2624 pbc="T T T"
O -4.479 -2.561 4.182
O -4.065 -0.023 1.274
O -1.971 -0.909 3.389
O -3.692 0.438 4.320
O -1.598 -0.449 6.435
O -3.524 2.773 1.920
O -1.184 2.089 3.527
O -2.139 -3.245 5.789
Sc -2.646 0.899 2.555
Sc -3.016 -1.370 5.154
Mo 0.000 0.000 0.000
Sm -0.356 -2.186 2.505


(16)
9
Lattice="-2.397 1.744 -3.453 -4.635 -1.769 2.324 1.927 4.990 1.183" Properties=species:S:1:pos:R:3 comment="SmScMoO6 | Alexandria | GGA+U | optimized geometry" dft_energy_ev_per_cell=-70.60 n_ef_per_ev_atom=0.0000 pbc="T T T"
Sc -0.261 2.737 1.564
O -1.342 1.494 0.128
O -1.947 4.094 1.861
O -1.212 5.652 -0.743
O 0.639 3.983 0.009
O -3.596 3.643 -0.102
O -1.297 2.789 -2.130
Mo -1.199 0.872 -1.726
Sm -3.646 1.356 0.218


(17)
12
Lattice="-2.381 4.063 -3.496 -3.331 -2.802 3.931 1.427 4.853 4.668" Properties=species:S:1:pos:R:3 comment="SrScMo2O8 | Alexandria | GGA+U | optimized geometry" dft_energy_ev_per_cell=-88.44 n_ef_per_ev_atom=0.4031 pbc="T T T"
O -2.345 1.763 3.645
O -0.298 3.659 4.456
O -3.987 2.454 0.647
O -3.268 4.315 4.682
O -2.030 2.202 6.500
O -2.254 3.912 -1.398
O -1.940 4.351 1.457
O -1.016 1.798 0.421
Sc 0.000 0.000 0.000
Mo -2.308 3.099 0.253
Mo -1.977 3.015 4.849
Sr 0.714 2.426 2.334


(18)
9
Lattice="5.465 0.077 0.022 2.799 4.694 -0.021 0.021 -0.036 5.326" Properties=species:S:1:pos:R:3 comment="SrScMoO6 | Alexandria | GGA+U | optimized geometry" dft_energy_ev_per_cell=-65.54 n_ef_per_ev_atom=0.1060 pbc="T T T"
Mo 2.903 1.652 2.664
O 1.851 2.914 3.702
O 3.470 0.111 1.625
O 1.916 0.166 3.682
O 1.122 1.539 1.644
O 3.716 2.874 1.517
O 4.368 1.744 3.810
Sc 5.561 3.186 2.664
Sr 8.234 4.753 0.001


(19)
12
Lattice="-1.356 0.853 -6.171 -4.377 -2.488 3.911 -1.907 5.128 1.128" Properties=species:S:1:pos:R:3 comment="ScTe2MoO8 | Alexandria | GGA+U | optimized geometry" dft_energy_ev_per_cell=-77.15 pbc="T T T"
Te -2.761 0.810 -2.574
Te -4.879 2.683 1.443
O -4.769 0.125 -2.227
O -6.214 2.415 -0.220
O -4.051 4.280 -1.811
O -2.871 3.369 1.096
O -5.422 1.918 3.378
O -1.426 1.078 -0.911
O -2.218 1.575 -4.509
O -3.588 -0.786 0.680
Mo 0.000 0.000 0.000
Sc -0.953 2.564 0.564


(20)
18
Lattice="5.155 0.000 0.000 -2.577 4.464 0.000 0.000 0.000 8.752" Properties=species:S:1:pos:R:3 comment="ScTiMoO6 | Alexandria | GGA+U | optimized geometry" dft_energy_ev_per_cell=-147.32 n_ef_per_ev_atom=0.0083 pbc="T T T"
Ti 0.000 2.976 6.564
Ti 2.577 1.488 2.188
Sc 0.000 2.976 2.188
Sc 2.577 1.488 6.564
O 1.653 3.052 5.481
O 3.338 2.958 3.272
O 3.470 0.094 3.272
O -1.653 3.052 7.648
O 1.817 2.958 1.105
O 0.924 1.412 3.272
O 0.761 1.506 7.648
O 0.893 4.370 7.648
O 1.685 0.094 1.105
O -0.893 4.370 5.481
O 4.231 1.412 1.105
O -0.761 1.506 5.481
Mo 0.000 0.000 0.000
Mo 0.000 0.000 4.376